! Ba4AuBr PBE relaxed; values from VASP
! density = 4.5 Mg/m³
! space group = No. 12
! formation energy without anion corrections = -432.1 kJ/mol of formula units
&SYSTEM
  ibrav = 0, nat = 6, ntyp = 3
/
ATOMIC_SPECIES
Ba 137.33 Ba.upf
Au 196.97 Au.upf
Br 79.90 Br.upf
CELL_PARAMETERS angstrom
4.6672 -0.0044 -0.0004
-2.3287 7.6556 -1.5806
0.0024 0.1326 8.5735
ATOMIC_POSITIONS crystal
Ba 0.8687 0.7377 0.6457
Ba 0.1312 0.2623 0.3543
Ba 0.3793 0.7587 0.1136
Ba 0.6208 0.2412 0.8864
Au 0.0000 0.0000 0.0000
Br 0.4999 0.0000 0.5000

=====

! Nd2Sm3Cd6 PBE relaxed; values from VASP
! E_form = 90 kJ/mol of formula units
! density = 6.5 Mg/m³
! space group = No. 139
&SYSTEM
  ibrav = 0, nat = 11, ntyp = 3
/
ATOMIC_SPECIES
Nd 144.24 Nd.upf
Sm 150.36 Sm.upf
Cd 112.41 Cd.upf
CELL_PARAMETERS angstrom
5.0288 0.0000 0.0000
0.0000 5.0288 0.0000
-2.5144 -2.5144 14.3257
ATOMIC_POSITIONS crystal
Nd 0.3645 0.3645 0.7290
Nd 0.6355 0.6355 0.2710
Sm 0.0000 0.0000 0.0000
Sm 0.8632 0.8632 0.7265
Sm 0.1368 0.1368 0.2735
Cd 0.0652 0.5652 0.1304
Cd 0.5652 0.0652 0.1304
Cd 0.9348 0.4348 0.8696
Cd 0.4348 0.9348 0.8696
Cd 0.7498 0.7498 0.4997
Cd 0.2502 0.2502 0.5003

=====

! KP3H6 PBE relaxed; values from VASP
! DFT total energy = -3.599 eV/atom
! density = 1.6 Mg/m³
! space group = No. 160
&SYSTEM
  ibrav = 0, nat = 10, ntyp = 3
/
ATOMIC_SPECIES
K 39.10 K.upf
P 30.97 P.upf
H 1.01 H.upf
CELL_PARAMETERS angstrom
0.0874 -1.8538 -4.4453
5.8046 -0.3382 1.9952
-3.8812 -3.5743 3.1543
ATOMIC_POSITIONS crystal
K 0.2946 0.0000 0.0000
P 0.8354 0.4476 0.0000
P 0.8354 0.0000 0.4476
P 0.3878 0.5524 0.5524
H 0.1406 0.0000 0.5417
H 0.1406 0.5417 0.0000
H 0.8841 0.0000 0.2247
H 0.8841 0.2247 0.0000
H 0.6594 0.7753 0.7753
H 0.5989 0.4583 0.4583

=====

Repeat the first record exactly.
! Ba4AuBr PBE relaxed; values from VASP
! density = 4.5 Mg/m³
! space group = No. 12
! formation energy without anion corrections = -432.1 kJ/mol of formula units
&SYSTEM
  ibrav = 0, nat = 6, ntyp = 3
/
ATOMIC_SPECIES
Ba 137.33 Ba.upf
Au 196.97 Au.upf
Br 79.90 Br.upf
CELL_PARAMETERS angstrom
4.6672 -0.0044 -0.0004
-2.3287 7.6556 -1.5806
0.0024 0.1326 8.5735
ATOMIC_POSITIONS crystal
Ba 0.8687 0.7377 0.6457
Ba 0.1312 0.2623 0.3543
Ba 0.3793 0.7587 0.1136
Ba 0.6208 0.2412 0.8864
Au 0.0000 0.0000 0.0000
Br 0.4999 0.0000 0.5000